Entry P
A plane-wave DFT calculation with PBE was carried out for TlSiBr after structural relaxation. Values from VASP.

Quantum ESPRESSO input file:
```
&SYSTEM
  ibrav = 0, nat = 6, ntyp = 3
/
ATOMIC_SPECIES
Tl 204.38 Tl.upf
Si 28.09 Si.upf
Br 79.90 Br.upf
ATOMIC_POSITIONS angstrom
Tl 0.000 0.000 0.000
Tl -0.019 1.729 3.099
Si -0.010 5.466 2.377
Si 1.953 4.038 2.526
Br 1.950 -0.614 4.805
Br 1.950 3.138 0.274
CELL_PARAMETERS angstrom
3.926 0.000 0.000
-1.963 6.471 0.000
-0.004 -1.115 7.655
```

Values from the calculation:
Magnetic moment   0.000 μB/atom
Space group   No. 1
Calculated density   5.3 Mg/m³

Entry Q
A plane-wave DFT calculation with PBE was carried out for TlSiBr after structural relaxation. Values from VASP.

Quantum ESPRESSO input file:
```
&SYSTEM
  ibrav = 0, nat = 3, ntyp = 3
/
ATOMIC_SPECIES
Tl 204.38 Tl.upf
Si 28.09 Si.upf
Br 79.90 Br.upf
ATOMIC_POSITIONS angstrom
Tl 0.000 0.000 0.000
Si 0.000 2.948 1.740
Br 2.553 1.474 1.728
CELL_PARAMETERS angstrom
5.106 0.000 0.000
-2.553 4.422 0.000
0.000 0.000 3.464
```

Values from the calculation:
Magnetic moment   0.000 μB/atom
Space group   No. 156
Calculated density   6.6 Mg/m³

Entry R
A plane-wave DFT calculation with PBE was carried out for TlSiBr after structural relaxation. Values from VASP.

Quantum ESPRESSO input file:
```
&SYSTEM
  ibrav = 0, nat = 6, ntyp = 3
/
ATOMIC_SPECIES
Tl 204.38 Tl.upf
Si 28.09 Si.upf
Br 79.90 Br.upf
ATOMIC_POSITIONS angstrom
Tl 0.600 0.000 1.523
Tl 3.837 1.943 5.856
Si 0.494 1.958 7.193
Si 3.944 0.015 0.186
Br 0.579 1.743 4.809
Br 3.859 3.686 2.570
CELL_PARAMETERS angstrom
6.478 0.000 0.000
0.000 3.886 0.000
-2.040 0.000 7.379
```

Values from the calculation:
Magnetic moment   0.000 μB/atom
Space group   No. 4
Calculated density   5.6 Mg/m³

Most stable one: entry R, least stable one: entry Q.

Entry P
A plane-wave DFT calculation with PBE was carried out for TlSiBr after structural relaxation. Values from VASP.

Quantum ESPRESSO input file:
```
&SYSTEM
  ibrav = 0, nat = 6, ntyp = 3
/
ATOMIC_SPECIES
Tl 204.38 Tl.upf
Si 28.09 Si.upf
Br 79.90 Br.upf
ATOMIC_POSITIONS angstrom
Tl 0.000 0.000 0.000
Tl 1.928 2.195 5.737
Si 0.000 0.000 5.656
Si 1.928 2.195 11.393
Br 0.000 0.000 3.284
Br 1.928 2.195 9.021
CELL_PARAMETERS angstrom
3.857 0.000 0.000
0.000 4.390 0.000
0.000 0.000 11.474
```

Values from the calculation:
Magnetic moment   0.000 μB/atom
Space group   No. 44
Calculated density   5.3 Mg/m³

Entry Q
A plane-wave DFT calculation with PBE was carried out for TlSiBr after structural relaxation. Values from VASP.

Quantum ESPRESSO input file:
```
&SYSTEM
  ibrav = 0, nat = 12, ntyp = 3
/
ATOMIC_SPECIES
Tl 204.38 Tl.upf
Si 28.09 Si.upf
Br 79.90 Br.upf
ATOMIC_POSITIONS angstrom
Tl 0.000 0.000 0.000
Tl -0.790 1.943 5.437
Tl 6.053 1.943 0.000
Tl 5.263 0.000 5.437
Si -1.114 0.000 8.024
Si 3.409 1.943 0.585
Si 4.939 1.943 8.024
Si 9.462 0.000 0.585
Br 3.280 1.943 2.900
Br 2.032 0.000 6.222
Br 9.333 0.000 2.900
Br 8.085 1.943 6.222
CELL_PARAMETERS angstrom
12.106 0.000 0.000
0.000 3.886 0.000
-3.727 0.000 8.531
```

Values from the calculation:
Magnetic moment   0.000 μB/atom
Space group   No. 8
Calculated density   5.2 Mg/m³

Entry R
A plane-wave DFT calculation with PBE was carried out for TlSiBr after structural relaxation. Values from VASP.

Quantum ESPRESSO input file:
```
&SYSTEM
  ibrav = 0, nat = 6, ntyp = 3
/
ATOMIC_SPECIES
Tl 204.38 Tl.upf
Si 28.09 Si.upf
Br 79.90 Br.upf
ATOMIC_POSITIONS angstrom
Tl 0.792 0.974 1.329
Tl 3.967 2.922 6.491
Si 2.185 2.922 3.227
Si 2.574 0.974 4.593
Br 0.512 0.974 5.807
Br 4.247 2.922 2.013
CELL_PARAMETERS angstrom
6.330 0.000 0.000
0.000 3.896 0.000
-1.571 0.000 7.820
```

Values from the calculation:
Magnetic moment   0.000 μB/atom
Space group   No. 11
Calculated density   5.4 Mg/m³

Most stable one: entry Q, least stable one: entry P.

Entry P
A plane-wave DFT calculation with PBE was carried out for TlSiBr after structural relaxation. Values from VASP.

Quantum ESPRESSO input file:
```
&SYSTEM
  ibrav = 0, nat = 6, ntyp = 3
/
ATOMIC_SPECIES
Tl 204.38 Tl.upf
Si 28.09 Si.upf
Br 79.90 Br.upf
ATOMIC_POSITIONS angstrom
Tl 0.000 0.000 0.000
Tl 2.570 0.000 3.240
Si 1.775 1.930 8.485
Si 2.974 0.000 0.096
Br 0.050 1.930 2.612
Br 1.376 1.930 6.229
CELL_PARAMETERS angstrom
5.763 0.000 0.000
0.000 3.861 0.000
-0.628 0.000 9.530
```

Values from the calculation:
Magnetic moment   0.000 μB/atom
Space group   No. 6
Calculated density   4.9 Mg/m³

Entry Q
A plane-wave DFT calculation with PBE was carried out for TlSiBr after structural relaxation. Values from VASP.

Quantum ESPRESSO input file:
```
&SYSTEM
  ibrav = 0, nat = 12, ntyp = 3
/
ATOMIC_SPECIES
Tl 204.38 Tl.upf
Si 28.09 Si.upf
Br 79.90 Br.upf
ATOMIC_POSITIONS angstrom
Tl 0.000 0.000 0.000
Tl 0.000 3.523 3.523
Tl 3.523 0.000 3.523
Tl 3.523 3.523 0.000
Si 1.762 1.762 5.285
Si 1.762 5.285 1.762
Si 5.285 1.762 1.762
Si 5.285 5.285 5.285
Br 0.000 0.000 3.523
Br 0.000 3.523 0.000
Br 3.523 0.000 0.000
Br 3.523 3.523 3.523
CELL_PARAMETERS angstrom
7.046 0.000 0.000
0.000 7.046 0.000
0.000 0.000 7.046
```

Values from the calculation:
Magnetic moment   0.000 μB/atom
Space group   No. 216
Calculated density   5.9 Mg/m³

Most stable one: entry P, least stable one: entry Q.

Entry P
A plane-wave DFT calculation with PBE was carried out for TlSiBr after structural relaxation. Values from VASP.

Quantum ESPRESSO input file:
```
&SYSTEM
  ibrav = 0, nat = 6, ntyp = 3
/
ATOMIC_SPECIES
Tl 204.38 Tl.upf
Si 28.09 Si.upf
Br 79.90 Br.upf
ATOMIC_POSITIONS angstrom
Tl 1.414 2.855 1.428
Tl 6.996 5.968 3.827
Si 4.165 4.545 3.782
Si 4.245 4.278 1.473
Br 4.168 8.239 4.255
Br 4.243 0.584 0.999
CELL_PARAMETERS angstrom
5.654 0.000 0.000
0.015 6.010 0.000
2.742 2.813 5.255
```

Values from the calculation:
Magnetic moment   0.000 μB/atom
Space group   No. 2
Calculated density   5.8 Mg/m³

Entry Q
A plane-wave DFT calculation with PBE was carried out for TlSiBr after structural relaxation. Values from VASP.

Quantum ESPRESSO input file:
```
&SYSTEM
  ibrav = 0, nat = 3, ntyp = 3
/
ATOMIC_SPECIES
Tl 204.38 Tl.upf
Si 28.09 Si.upf
Br 79.90 Br.upf
ATOMIC_POSITIONS angstrom
Tl 0.000 0.000 0.000
Si 0.000 2.007 5.017
Br 1.738 1.003 3.117
CELL_PARAMETERS angstrom
3.476 0.000 0.000
-1.738 3.010 0.000
0.000 0.000 7.420
```

Values from the calculation:
Magnetic moment   0.000 μB/atom
Space group   No. 156
Calculated density   6.7 Mg/m³

Most stable one: entry P, least stable one: entry Q.

Entry P
A plane-wave DFT calculation with PBE was carried out for TlSiBr after structural relaxation. Values from VASP.

Quantum ESPRESSO input file:
```
&SYSTEM
  ibrav = 0, nat = 12, ntyp = 3
/
ATOMIC_SPECIES
Tl 204.38 Tl.upf
Si 28.09 Si.upf
Br 79.90 Br.upf
ATOMIC_POSITIONS angstrom
Tl 0.000 0.000 0.000
Tl 0.976 0.000 5.095
Tl 5.981 1.970 0.000
Tl 6.957 1.970 5.095
Si 1.469 0.000 8.082
Si 3.353 1.970 0.550
Si 7.451 1.970 8.082
Si 9.335 0.000 0.550
Br 3.411 1.970 2.877
Br 4.612 0.000 6.201
Br 9.393 0.000 2.877
Br 10.593 1.970 6.201
CELL_PARAMETERS angstrom
11.963 0.000 0.000
0.000 3.940 0.000
-1.122 0.000 8.590
```

Values from the calculation:
Magnetic moment   0.000 μB/atom
Space group   No. 8
Calculated density   5.1 Mg/m³

Entry Q
A plane-wave DFT calculation with PBE was carried out for TlSiBr after structural relaxation. Values from VASP.

Quantum ESPRESSO input file:
```
&SYSTEM
  ibrav = 0, nat = 12, ntyp = 3
/
ATOMIC_SPECIES
Tl 204.38 Tl.upf
Si 28.09 Si.upf
Br 79.90 Br.upf
ATOMIC_POSITIONS angstrom
Tl 0.000 0.000 0.000
Tl 0.000 3.648 3.648
Tl 3.648 0.000 3.648
Tl 3.648 3.648 0.000
Si 1.824 1.824 5.473
Si 1.824 5.473 1.824
Si 5.473 1.824 1.824
Si 5.473 5.473 5.473
Br 1.824 1.824 1.824
Br 1.824 5.473 5.473
Br 5.473 1.824 5.473
Br 5.473 5.473 1.824
CELL_PARAMETERS angstrom
7.297 0.000 0.000
0.000 7.297 0.000
0.000 0.000 7.297
```

Values from the calculation:
Magnetic moment   0.512 μB/atom
Space group   No. 216
Calculated density   5.3 Mg/m³

Most stable one: entry P, least stable one: entry Q.

Entry P
A plane-wave DFT calculation with PBE was carried out for VSiBr3 after structural relaxation. Values from VASP.

Quantum ESPRESSO input file:
```
&SYSTEM
  ibrav = 0, nat = 5, ntyp = 3
/
ATOMIC_SPECIES
V 50.94 V.upf
Si 28.09 Si.upf
Br 79.90 Br.upf
ATOMIC_POSITIONS angstrom
V 0.000 0.000 0.000
Si 2.568 2.568 2.568
Br 0.000 0.000 2.568
Br 0.000 2.568 0.000
Br 2.568 0.000 0.000
CELL_PARAMETERS angstrom
5.135 0.000 0.000
0.000 5.135 0.000
0.000 0.000 5.135
```

Values from the calculation:
Magnetic moment   0.800 μB/atom
Space group   No. 221
Calculated density   3.9 Mg/m³

Entry Q
A plane-wave DFT calculation with PBE was carried out for VSiBr3 after structural relaxation. Values from VASP.

Quantum ESPRESSO input file:
```
&SYSTEM
  ibrav = 0, nat = 5, ntyp = 3
/
ATOMIC_SPECIES
V 50.94 V.upf
Si 28.09 Si.upf
Br 79.90 Br.upf
ATOMIC_POSITIONS angstrom
V 0.000 0.000 0.000
Si 2.630 2.630 2.630
Br 0.000 2.630 2.630
Br 2.630 0.000 2.630
Br 2.630 2.630 0.000
CELL_PARAMETERS angstrom
5.260 0.000 0.000
0.000 5.260 0.000
0.000 0.000 5.260
```

Values from the calculation:
Magnetic moment   0.802 μB/atom
Space group   No. 221
Calculated density   3.6 Mg/m³

Most stable one: entry P, least stable one: entry Q.